# PBE+U CsVF3, optimized geometry
data_CsVF3
_space_group_name_H-M_alt 'P -1'
_space_group_IT_number 2
_space_group_name_Hall '-P 1'
_cell_length_a 4.2797
_cell_length_b 7.7280
_cell_length_c 7.7934
_cell_angle_alpha 109.95
_cell_angle_beta 101.20
_cell_angle_gamma 101.10
loop_
_atom_site_label
_atom_site_type_symbol
_atom_site_fract_x
_atom_site_fract_y
_atom_site_fract_z
_atom_site_occupancy
Cs1 Cs 0.0144 0.2898 0.2164 1
V1 V 0.4070 0.1610 0.6638 1
F1 F 0.3206 0.3987 0.6620 1
F2 F 0.3457 0.1605 0.9046 1
F3 F 0.4551 0.8853 0.5853 1
# Crystal system = triclinic
# Total moment = 3.0 μB per formula unit
# E = -53.167 eV for the cell shown